# EuHoCdBi | Alexandria | PBE | optimized geometry
# Crystal system   cubic
# DOS at the Fermi energy   4.300 states/eV per cell
# M_tot   7.9 μB per cell
# Calculated density   9.02 g/cm3
# Energy of formation   -449 meV/atom
data_EuHoCdBi
_chemical_formula_sum 'Eu1 Ho1 Cd1 Bi1'
_cell_length_a 5.499
_cell_length_b 5.499
_cell_length_c 5.499
_cell_angle_alpha 60.00
_cell_angle_beta 60.00
_cell_angle_gamma 60.00
_space_group_name_H-M_alt 'P 1'
_space_group_IT_number 1
_space_group_name_Hall 'P 1'
loop_
_atom_site_label
_atom_site_type_symbol
_atom_site_fract_x
_atom_site_fract_y
_atom_site_fract_z
Cd1 Cd 0.750 0.750 0.750
Eu1 Eu 0.500 0.500 0.500
Ho1 Ho 0.000 0.000 0.000
Bi1 Bi 0.250 0.250 0.250